Computed, not measured: a geometry-optimized TlCdIn structure at the PBE-GGA level of DFT.

a b c (Å): 3.3766 4.7118 10.2185
angles (deg): 90.00 90.00 90.00
With the nearest neighbours (Å) after each atom.
Fractional positions:
Tl: 0.0000 0.0000 0.0000  5 In 3.33-3.40, 5 Cd 3.37-3.39, 2 Tl 3.38
Tl: 0.5000 0.5000 0.5000  5 In 3.33-3.40, 5 Cd 3.37-3.39, 2 Tl 3.38
Cd: 0.0000 0.0000 0.6679  5 In 3.32-3.50, 5 Tl 3.37-3.39, 2 Cd 3.38
Cd: 0.5000 0.5000 0.1679  5 In 3.32-3.50, 5 Tl 3.37-3.39, 2 Cd 3.38
In: 0.0000 0.0000 0.3255  5 Cd 3.32-3.50, 5 Tl 3.33-3.40, 2 In 3.38
In: 0.5000 0.5000 0.8255  5 Cd 3.32-3.50, 5 Tl 3.33-3.40, 2 In 3.38

Summary:
SG: Imm2, No. 44
Total DFT energy (no corrections): -1.964 eV/atom
Magnetic moment: 0.00 μB per formula unit
N(E_F): 1.16 states/eV/f.u.